A plane-wave DFT calculation with GGA-PBE was carried out for a geometry-optimized Mg6Tl structure.

```
data_Mg6Tl
_chemical_formula_sum 'Mg12 Tl2'
_cell_length_a 8.1377
_cell_length_b 8.1377
_cell_length_c 8.1377
_cell_angle_alpha 90.00
_cell_angle_beta 90.00
_cell_angle_gamma 90.00
_space_group_name_H-M_alt 'P 1'
_space_group_IT_number 1
_space_group_name_Hall 'P 1'
loop_
_atom_site_label
_atom_site_type_symbol
_atom_site_fract_x
_atom_site_fract_y
_atom_site_fract_z
Mg1 Mg 0.0000 0.2500 0.5000
Mg2 Mg 0.0000 0.5000 0.2500
Mg3 Mg 0.0000 0.5000 0.7500
Mg4 Mg 0.0000 0.7500 0.5000
Mg5 Mg 0.2500 0.0000 0.5000
Mg6 Mg 0.2500 0.5000 0.0000
Mg7 Mg 0.5000 0.0000 0.2500
Mg8 Mg 0.5000 0.0000 0.7500
Mg9 Mg 0.5000 0.2500 0.0000
Mg10 Mg 0.5000 0.7500 0.0000
Mg11 Mg 0.7500 0.0000 0.5000
Mg12 Mg 0.7500 0.5000 0.0000
Tl1 Tl 0.0000 0.0000 0.0000
Tl2 Tl 0.5000 0.5000 0.5000
```

Fermi-level density of states (states/eV per atom): 0.7946
ΔH_f (0 K) (meV/atom): 670.4